Record 1
Density functional theory data (PBE-GGA) for a relaxed LaDy2Hf crystal.

Lattice parameters (Å, degrees): 4.957 4.882 4.882 90.00 90.00 90.00
Fractional coordinates of all 4 atoms:
Dy (0.000, 0.000, 0.500)
Dy (0.000, 0.500, 0.000)
La (0.500, 0.500, 0.500)
Hf (0.500, 0.000, 0.000)

ΔH_f (0 K), meV/atom: 167
E, eV per formula unit: -23.4
Energy relative to the lowest polymorph listed for this composition, meV per atom: 43
SG: P4/mmm

---

Record 2
Density functional theory data (PBE-GGA) for a relaxed Ba4Hg2Rh crystal.

Lattice parameters (Å, degrees): 5.921 5.921 9.754 107.67 107.67 90.00
Fractional coordinates of all 7 atoms:
Hg (0.377, 0.377, 0.754)
Hg (0.623, 0.623, 0.246)
Ba (0.822, 0.822, 0.644)
Ba (0.500, 0.000, 0.000)
Ba (0.000, 0.500, 0.000)
Ba (0.178, 0.178, 0.356)
Rh (0.000, 0.000, 0.000)

ΔH_f (0 K), meV/atom: -272
E, eV per formula unit: -17.5
Energy relative to the lowest polymorph listed for this composition, meV per atom: 79
SG: I4/mmm

---

Record 3
Density functional theory data (PBE-GGA) for a relaxed BaLiGe2 crystal.

Lattice parameters (Å, degrees): 5.100 5.100 9.566 74.54 74.54 90.00
Fractional coordinates of all 8 atoms:
Ba (0.000, 0.000, 0.000)
Ba (0.750, 0.250, 0.500)
Ge (0.375, 0.125, 0.250)
Ge (0.375, 0.625, 0.750)
Ge (0.875, 0.625, 0.750)
Ge (0.375, 0.625, 0.250)
Li (0.500, 0.500, 0.000)
Li (0.250, 0.750, 0.500)

ΔH_f (0 K), meV/atom: -304
E, eV per formula unit: -14.3
Energy relative to the lowest polymorph listed for this composition, meV per atom: 230
SG: I4_1/amd

---

Record 4
Density functional theory data (PBE-GGA) for a relaxed MgGaCo crystal.

Lattice parameters (Å, degrees): 2.973 4.165 4.165 120.00 90.00 90.00
Fractional coordinates of all 3 atoms:
Mg (0.666, 0.333, 0.667)
Ga (0.166, 0.000, 0.000)
Co (0.167, 0.667, 0.333)

ΔH_f (0 K), meV/atom: -110
E, eV per formula unit: -12.1
SG: P-6m2

---

Record 5
Density functional theory data (PBE-GGA) for a relaxed ReW2S5 crystal.

Lattice parameters (Å, degrees): 5.170 6.145 6.997 63.95 65.50 90.00
Fractional coordinates of all 8 atoms:
W (0.970, 0.380, 0.241)
W (0.595, 0.999, 0.002)
S (0.287, 0.286, 0.933)
S (0.589, 0.595, 0.311)
S (0.589, 0.094, 0.311)
S (0.287, 0.781, 0.933)
S (0.938, 0.194, 0.613)
Re (0.969, 0.895, 0.209)

E, eV per formula unit: -59.4
Formation energy without anion corrections, eV/atom: -0.05
SG: Cm

---

Record 6
Density functional theory data (PBE-GGA) for a relaxed TaPIr crystal.

Lattice parameters (Å, degrees): 4.248 4.248 4.248 60.00 60.00 60.00
Fractional coordinates of all 3 atoms:
P (0.500, 0.500, 0.500)
Ta (0.250, 0.250, 0.250)
Ir (0.000, 0.000, 0.000)

ΔH_f (0 K), meV/atom: -89
E, eV per formula unit: -26.4
SG: F-43m